# 1
Crystalline Cd4InCo at its relaxed geometry, computed with PBE.

a = 5.6931 Å, b = 5.6931 Å, c = 5.6931 Å
α = 60.00°, β = 60.00°, γ = 60.00°
Site moments in Bohr magnetons follow the coordinates.
Positions (direct):
Cd 0.3756 0.8731 0.3756  -0.01
Cd 0.3756 0.3756 0.8731  -0.01
Co 0.7500 0.7500 0.7500  1.69
In 0.0000 0.0000 0.0000  0.00
Cd 0.3756 0.3756 0.3756  -0.01
Cd 0.8731 0.3756 0.3756  -0.01

Output
DFT total energy = -1.819 eV/atom
SG = No. 216


# 2
Crystalline OsOF4 at its relaxed geometry, computed with PBE.

a = 12.8836 Å, b = 5.8299 Å, c = 5.7346 Å
α = 63.58°, β = 90.00°, γ = 90.00°
Positions (direct):
F 0.2032 0.9668 0.0565
O 0.3675 0.3183 0.7952
F 0.7107 0.4116 0.9825
Os 0.6472 0.3627 0.3371
F 0.0847 0.7412 0.8342
F 0.7893 0.4116 0.4825
F 0.9153 0.2588 0.1658
F 0.9750 0.2612 0.7276
F 0.5847 0.2588 0.6658
F 0.4153 0.7412 0.3342
O 0.8675 0.6817 0.7048
F 0.2107 0.5884 0.5175
F 0.4750 0.7388 0.7724
Os 0.1472 0.6373 0.1629
F 0.0250 0.7388 0.2724
F 0.7968 0.0332 0.9435
O 0.1325 0.3183 0.2952
F 0.2968 0.9668 0.5565
Os 0.3528 0.6373 0.6629
F 0.5250 0.2612 0.2276
F 0.7032 0.0332 0.4435
Os 0.8528 0.3627 0.8371
F 0.2893 0.5884 0.0175
O 0.6325 0.6817 0.2048

Output
DFT total energy = -5.483 eV/atom
SG = No. 14
Energy relative to the elements, uncorrected = -1538 meV per atom


# 3
Crystalline ReTc2P at its relaxed geometry, computed with PBE.

a = 4.7107 Å, b = 4.7107 Å, c = 2.8722 Å
α = 90.00°, β = 90.00°, γ = 116.44°
Positions (direct):
Tc 0.5000 0.0000 0.0000
P 0.0000 0.0000 0.5000
Re 0.5000 0.5000 0.5000
Tc 0.0000 0.5000 0.0000

Output
DFT total energy = -9.473 eV/atom
SG = No. 65


# 4
Crystalline CdRhPb at its relaxed geometry, computed with PBE.

a = 4.6324 Å, b = 4.6324 Å, c = 4.6324 Å
α = 60.00°, β = 60.00°, γ = 60.00°
Positions (direct):
Rh 0.0000 0.0000 0.0000
Pb 0.2500 0.2500 0.2500
Cd 0.5000 0.5000 0.5000

Output
DFT total energy = -3.613 eV/atom
SG = No. 216
Polymorph energy (0 for the lowest one) = 0.482 eV/atom


# 5
Crystalline K3Sn8Pb3 at its relaxed geometry, computed with PBE.

a = 5.3166 Å, b = 9.8757 Å, c = 9.8757 Å
α = 70.93°, β = 74.38°, γ = 74.38°
Positions (direct):
Sn 0.3492 0.9244 0.3773
Pb 0.0000 0.1915 0.8085
Sn 0.1593 0.2066 0.4748
K 0.7993 0.2007 0.2007
K 0.2007 0.7993 0.7993
Pb 0.0000 0.8085 0.1915
Pb 0.5000 0.0000 0.0000
Sn 0.6508 0.0756 0.6227
Sn 0.3492 0.3773 0.9244
Sn 0.6508 0.6227 0.0756
Sn 0.8407 0.7934 0.5252
Sn 0.1593 0.4748 0.2066
K 0.5000 0.5000 0.5000
Sn 0.8407 0.5252 0.7934

Output
DFT total energy = -3.445 eV/atom
SG = No. 71


# 6
Crystalline TaZnW2 at its relaxed geometry, computed with PBE.

a = 4.7013 Å, b = 4.7013 Å, c = 4.7013 Å
α = 126.44°, β = 126.44°, γ = 79.17°
Positions (direct):
W 0.0000 0.0000 0.0000
Ta 0.7500 0.2500 0.5000
W 0.2500 0.7500 0.5000
Zn 0.5000 0.5000 0.0000

Output
DFT total energy = -9.527 eV/atom
SG = No. 119


# 7
Crystalline B2AsPd at its relaxed geometry, computed with PBE.

a = 4.9410 Å, b = 4.9410 Å, c = 5.7750 Å
α = 64.67°, β = 64.67°, γ = 90.00°
Positions (direct):
As 0.5000 0.5000 0.0000
B 0.3750 0.3811 0.7500
Pd 0.0000 0.0000 0.0000
B 0.6189 0.1250 0.2500
As 0.2500 0.7500 0.5000
B 0.8750 0.8689 0.7500
B 0.1311 0.6250 0.2500
Pd 0.7500 0.2500 0.5000

Output
DFT total energy = -5.394 eV/atom
SG = No. 122


# 8
Crystalline TlTeAs2 at its relaxed geometry, computed with PBE.

a = 6.0273 Å, b = 6.0273 Å, c = 6.0273 Å
α = 144.37°, β = 123.78°, γ = 68.36°
Positions (direct):
As 0.5324 0.5324 0.0000
Te 0.7500 0.2500 0.5000
Tl 0.2500 0.7500 0.5000
As 0.9676 0.9676 0.0000

Output
DFT total energy = -3.404 eV/atom
SG = No. 71
Polymorph energy (0 for the lowest one) = 0.283 eV/atom
Energy relative to the elements, uncorrected = 297 meV per atom


# 9
Crystalline MgTi2In2Rh5 at its relaxed geometry, computed with PBE.

a = 3.5660 Å, b = 9.7129 Å, c = 9.7129 Å
α = 90.00°, β = 90.00°, γ = 90.00°
Positions (direct):
Rh 0.5000 0.0780 0.7995
In 0.0000 0.6695 0.1695
Rh 0.5000 0.5000 0.0000
Ti 0.0000 0.8697 0.3697
Rh 0.5000 0.2995 0.5780
Rh 0.5000 0.4220 0.2995
Rh 0.5000 0.2005 0.0780
In 0.0000 0.1695 0.3305
Rh 0.5000 0.7995 0.9220
In 0.0000 0.3305 0.8305
Mg 0.0000 0.5000 0.5000
Rh 0.5000 0.7005 0.4220
Ti 0.0000 0.6303 0.8697
Rh 0.5000 0.0000 0.5000
Rh 0.5000 0.5780 0.7005
In 0.0000 0.8305 0.6695
Rh 0.5000 0.9220 0.2005
Ti 0.0000 0.1303 0.6303
Mg 0.0000 0.0000 0.0000
Ti 0.0000 0.3697 0.1303

Output
DFT total energy = -6.357 eV/atom
SG = No. 127


# 10
Crystalline PrThSi at its relaxed geometry, computed with PBE.

a = 4.4845 Å, b = 7.9848 Å, c = 7.9848 Å
α = 120.00°, β = 90.00°, γ = 90.00°
Positions (direct):
Th 0.5000 0.7505 0.7505
Th 0.5000 0.0000 0.2495
Pr 0.0000 0.0000 0.5845
Pr 0.0000 0.5845 0.0000
Th 0.5000 0.2495 0.0000
Si 0.5000 0.3333 0.6667
Si 0.0000 0.0000 0.0000
Si 0.5000 0.6667 0.3333
Pr 0.0000 0.4155 0.4155

Output
DFT total energy = -6.327 eV/atom
SG = No. 189
Polymorph energy (0 for the lowest one) = 0.000 eV/atom
Energy relative to the elements, uncorrected = -453 meV per atom


# 11
Crystalline BaCa3Pd at its relaxed geometry, computed with PBE.

a = 10.9143 Å, b = 10.9143 Å, c = 10.9143 Å
α = 60.00°, β = 60.00°, γ = 60.00°
Site moments in Bohr magnetons follow the coordinates.
Positions (direct):
Ca 0.1788 0.1788 0.8212  0.02
Pd 0.1250 0.1250 0.1250  0.02
Ca 0.0712 0.4288 0.4288  0.03
Pd 0.1250 0.6250 0.1250  0.02
Ca 0.8212 0.1788 0.1788  0.02
Ba 0.6250 0.6250 0.1250  0.11
Pd 0.1250 0.1250 0.6250  0.02
Ca 0.0712 0.4288 0.0712  0.03
Ca 0.4288 0.0712 0.0712  0.02
Ca 0.4288 0.4288 0.0712  0.02
Ca 0.1788 0.8212 0.1788  0.03
Ba 0.1250 0.6250 0.6250  0.12
Ca 0.4288 0.0712 0.4288  0.02
Ca 0.1788 0.8212 0.8212  0.03
Ca 0.0712 0.0712 0.4288  0.02
Pd 0.6250 0.1250 0.1250  0.02
Ca 0.8212 0.8212 0.1788  0.02
Ba 0.6250 0.1250 0.6250  0.13
Ba 0.6250 0.6250 0.6250  0.11
Ca 0.8212 0.1788 0.8212  0.02

Output
DFT total energy = -2.769 eV/atom
SG = No. 227
Polymorph energy (0 for the lowest one) = 0.167 eV/atom


# 12
Crystalline NdDy2HoS4 at its relaxed geometry, computed with PBE.

a = 3.9001 Å, b = 6.8345 Å, c = 6.8765 Å
α = 71.06°, β = 90.00°, γ = 90.00°
Positions (direct):
S 0.5000 0.2466 0.7435
S 0.0000 0.7594 0.7390
Dy 0.0000 0.0000 0.0000
Dy 0.5000 0.0000 0.5000
Nd 0.5000 0.5000 0.0000
S 0.0000 0.2406 0.2610
S 0.5000 0.7534 0.2565
Ho 0.0000 0.5000 0.5000

Output
DFT total energy = -6.372 eV/atom
SG = No. 10
Energy relative to the elements, uncorrected = -1989 meV per atom